(1)
The following is a DFT calculation (GGA-PBE) of a geometry-optimized NbPtCl2 structure.

Cell: 4.545 4.545 4.545 Å, 60.00 60.00 60.00°
Element x y z (fractional)
Nb 0.000 0.000 0.000
Pt 0.500 0.500 0.500
Cl 0.250 0.250 0.250
Cl 0.750 0.750 0.750

Output
The value obtained for the theoretical density is 8.98 g/cm³. The calculation puts the excess energy over the best structure of this formula in the dataset at 595.2 meV/atom. Its crystal system is cubic. For the total magnetization, the calculation gives 0.00 μB per formula unit. For the raw total energy, the calculation gives -4.5962 eV per atom. The formation energy (no corrections) is 0.3548 eV per atom.

(2)
The following is a DFT calculation (GGA-PBE) of a geometry-optimized ThBe2Os structure.

Cell: 5.387 5.387 5.387 Å, 42.93 42.93 42.93°
Element x y z (fractional)
Th 0.000 0.000 0.000
Be 0.197 0.197 0.197
Be 0.803 0.803 0.803
Os 0.500 0.500 0.500

Output
The value obtained for the theoretical density is 11.12 g/cm³. Its crystal system is trigonal. For the formation energy, the calculation gives -18 kJ per mole of atoms. For the total magnetization, the calculation gives 0.00 μB per formula unit. For the raw total energy, the calculation gives -6.7081 eV per atom.

(3)
The following is a DFT calculation (GGA-PBE) of a geometry-optimized YTi2As2 structure.

Cell: 7.352 7.352 3.448 Å, 90.00 90.00 90.00°
Element x y z (fractional)
Y 0.000 0.000 0.000
Y 0.500 0.500 0.000
Ti 0.146 0.354 0.500
Ti 0.354 0.854 0.500
Ti 0.646 0.146 0.500
Ti 0.854 0.646 0.500
As 0.141 0.641 0.000
As 0.359 0.141 0.000
As 0.641 0.859 0.000
As 0.859 0.359 0.000

Output
The value obtained for the theoretical density is 5.96 g/cm³. The calculation puts the excess energy over the best structure of this formula in the dataset at 122.3 meV/atom. Its crystal system is tetragonal. For the formation energy, the calculation gives -78 kJ per mole of atoms. For the total magnetization, the calculation gives 0.00 μB per formula unit. For the raw total energy, the calculation gives -7.1209 eV per atom.

(4)
The following is a DFT calculation (GGA-PBE) of a geometry-optimized BaAlO3 structure.

Cell: 4.549 4.549 4.549 Å, 90.00 90.00 90.00°
Element x y z (fractional)
Ba 0.000 0.000 0.000
Al 0.500 0.500 0.500
O 0.000 0.000 0.500
O 0.000 0.500 0.000
O 0.500 0.000 0.000

Output
The value obtained for the theoretical density is 3.75 g/cm³. Its crystal system is cubic. For the total magnetization, the calculation gives 0.00 μB per formula unit. For the raw total energy, the calculation gives -4.1856 eV per atom. The formation energy (no corrections) is -0.0776 eV per atom.

(5)
The following is a DFT calculation (GGA-PBE) of a geometry-optimized NaSrGe structure.

Cell: 5.255 5.255 5.255 Å, 60.00 60.00 60.00°
Element x y z (fractional)
Na 0.000 0.000 0.000
Sr 0.500 0.500 0.500
Ge 0.250 0.250 0.250

Output
The value obtained for the theoretical density is 2.97 g/cm³. Its crystal system is cubic. For the formation energy, the calculation gives -18 kJ per mole of atoms. For the total magnetization, the calculation gives 1.02 μB per formula unit. For the raw total energy, the calculation gives -2.7218 eV per atom.

(6)
The following is a DFT calculation (GGA-PBE) of a geometry-optimized Nd3TcC3 structure.

Cell: 7.012 7.012 5.400 Å, 90.00 90.00 101.05°
Element x y z (fractional)
Nd 0.108 0.892 0.750
Nd 0.171 0.411 0.750
Nd 0.411 0.171 0.250
Nd 0.589 0.829 0.750
Nd 0.829 0.589 0.250
Nd 0.892 0.108 0.250
Tc 0.305 0.695 0.250
Tc 0.695 0.305 0.750
C 0.125 0.875 0.250
C 0.176 0.426 0.250
C 0.426 0.176 0.750
C 0.574 0.824 0.250
C 0.824 0.574 0.750
C 0.875 0.125 0.750

Output
The value obtained for the theoretical density is 7.22 g/cm³. Its crystal system is orthorhombic. For the formation energy, the calculation gives -18 kJ per mole of atoms. For the total magnetization, the calculation gives 0.00 μB per formula unit. For the raw total energy, the calculation gives -7.6646 eV per atom.

(7)
The following is a DFT calculation (GGA-PBE) of a geometry-optimized Ga6CoPd3 structure.

Cell: 6.812 6.073 9.935 Å, 90.00 125.85 90.00°
Element x y z (fractional)
Ga 0.067 0.034 0.257
Ga 0.067 0.466 0.757
Ga 0.224 0.171 0.577
Ga 0.224 0.329 0.077
Ga 0.377 0.614 0.548
Ga 0.377 0.886 0.048
Ga 0.623 0.114 0.952
Ga 0.623 0.386 0.452
Ga 0.776 0.671 0.923
Ga 0.776 0.829 0.423
Ga 0.933 0.534 0.243
Ga 0.933 0.966 0.743
Co 0.000 0.000 0.000
Co 0.000 0.500 0.500
Pd 0.288 0.678 0.243
Pd 0.288 0.822 0.743
Pd 0.500 0.000 0.500
Pd 0.500 0.500 0.000
Pd 0.712 0.178 0.257
Pd 0.712 0.322 0.757

Output
The value obtained for the theoretical density is 7.94 g/cm³. Its crystal system is monoclinic. For the formation energy, the calculation gives -32 kJ per mole of atoms. For the total magnetization, the calculation gives 0.00 μB per formula unit. For the raw total energy, the calculation gives -4.4153 eV per atom.

(8)
The following is a DFT calculation (GGA-PBE) of a geometry-optimized MgAlCu2 structure.

Cell: 5.625 5.625 5.625 Å, 103.29 103.29 122.69°
Element x y z (fractional)
Mg 0.000 0.000 0.000
Mg 0.750 0.250 0.500
Al 0.250 0.750 0.500
Al 0.500 0.500 0.000
Cu 0.151 0.625 0.026
Cu 0.375 0.401 0.526
Cu 0.599 0.125 0.974
Cu 0.875 0.849 0.474

Output
The value obtained for the theoretical density is 4.51 g/cm³. Its crystal system is tetragonal. For the formation energy, the calculation gives 19 kJ per mole of atoms. For the total magnetization, the calculation gives 0.00 μB per formula unit. For the raw total energy, the calculation gives -3.1819 eV per atom.